#1
Compound: AgPd4Se
Source: Alexandria via LeMat-Bulk
Functional: PBE
Structure: optimized geometry

The space group is C2/c (No. 15) and the conventional cell measures 14.294, 5.363 and 5.412 Å, with angles of 90.00, 98.96 and 90.00 degrees. The inequivalent atoms are Ag at (0.000, 0.090, 0.250), Pd at (0.083, 0.408, 0.930), Pd at (0.168, 0.135, 0.574) and Se at (0.250, 0.250, 0.000).

As for the volume: 17.1 Å³ per atom.

#2
Compound: AgPd4Se
Source: Alexandria via LeMat-Bulk
Functional: PBE
Structure: optimized geometry

The space group is P2_1/m (No. 11) and the conventional cell measures 4.900, 5.768 and 7.253 Å, with angles of 90.00, 92.50 and 90.00 degrees. The inequivalent atoms are Ag at (0.194, 0.250, 0.181), Pd at (0.000, 0.000, 0.500), Pd at (0.191, 0.750, 0.179), Pd at (0.301, 0.507, 0.856) and Se at (0.405, 0.250, 0.601).

As for the volume: 17.1 Å³ per atom.

Stability summary - winner: #2; margin: 0.047 eV/atom.

#1
Compound: AgPd2Se2
Source: Alexandria via LeMat-Bulk
Functional: PBE
Structure: optimized geometry

The space group is I4/mmm (No. 139) and the conventional cell measures 4.040, 4.040 and 12.230 Å, with angles of 90.00, 90.00 and 90.00 degrees. The inequivalent atoms are Ag at (0.000, 0.000, 0.000), Pd at (0.000, 0.500, 0.250) and Se at (0.000, 0.000, 0.382).

As for the volume: 20.0 Å³ per atom.

#2
Compound: AgPd2Se2
Source: Alexandria via LeMat-Bulk
Functional: PBE
Structure: optimized geometry

The space group is P-1 (No. 2) and the conventional cell measures 4.400, 6.411 and 7.841 Å, with angles of 84.62, 73.88 and 69.94 degrees. The inequivalent atoms are Ag at (0.117, 0.263, 0.250), Pd at (0.212, 0.075, 0.750), Pd at (0.453, 0.588, 0.250), Se at (0.249, 0.750, 0.974) and Se at (0.497, 0.250, 0.475).

As for the volume: 20.0 Å³ per atom.

Stability summary - winner: #2; margin: 0.078 eV/atom.

#1
Compound: AgPd2Se2
Source: Alexandria via LeMat-Bulk
Functional: PBE
Structure: optimized geometry

The space group is I4/mmm (No. 139) and the conventional cell measures 4.917, 4.917 and 8.424 Å, with angles of 90.00, 90.00 and 90.00 degrees. The inequivalent atoms are Ag at (0.000, 0.000, 0.000), Pd at (0.000, 0.000, 0.332) and Se at (0.000, 0.500, 0.250).

As for the volume: 20.4 Å³ per atom.

#2
Compound: AgPd2Se2
Source: Alexandria via LeMat-Bulk
Functional: PBE
Structure: optimized geometry

The space group is P4/mbm (No. 127) and the conventional cell measures 7.322, 7.322 and 3.421 Å, with angles of 90.00, 90.00 and 90.00 degrees. The inequivalent atoms are Ag at (0.000, 0.000, 0.000), Pd at (0.147, 0.353, 0.500) and Se at (0.163, 0.663, 0.000).

As for the volume: 18.3 Å³ per atom.

Stability summary - winner: #2; margin: 0.015 eV/atom.

#1
Compound: AgPd3Se
Source: Alexandria via LeMat-Bulk
Functional: PBE
Structure: optimized geometry

The space group is Pa-3 (No. 205) and the conventional cell measures 8.767, 8.767 and 8.767 Å, with angles of 90.00, 90.00 and 90.00 degrees. The inequivalent atoms are Ag at (0.094, 0.094, 0.094), Pd at (0.087, 0.722, 0.137) and Se at (0.123, 0.623, 0.877).

As for the volume: 16.8 Å³ per atom.

#2
Compound: AgPd3Se
Source: Alexandria via LeMat-Bulk
Functional: PBE
Structure: optimized geometry

The space group is P6_3/mmc (No. 194) and the conventional cell measures 6.3194, 6.3194 and 5.3553 Å, with angles of 90.00, 90.00 and 120.00 degrees. The inequivalent atoms are Ag at (0.3333, 0.6667, 0.2500), Pd at (0.1919, 0.3839, 0.7500) and Se at (0.0000, 0.0000, 0.0000).

As for the volume: 18.5 Å³ per atom.

#3
Compound: AgPd3Se
Source: Alexandria via LeMat-Bulk
Functional: PBE
Structure: optimized geometry

The space group is Pm-3m (No. 221) and the conventional cell measures 4.899, 4.899 and 4.899 Å, with angles of 90.00, 90.00 and 90.00 degrees. The inequivalent atoms are Ag at (0.000, 0.000, 0.000), Pd at (0.000, 0.000, 0.500) and Se at (0.500, 0.500, 0.500).

As for the volume: 23.5 Å³ per atom.

#4
Compound: AgPd3Se
Source: Alexandria via LeMat-Bulk
Functional: PBE
Structure: optimized geometry

The space group is Pm-3m (No. 221) and the conventional cell measures 4.675, 4.675 and 4.675 Å, with angles of 90.00, 90.00 and 90.00 degrees. The inequivalent atoms are Ag at (0.000, 0.000, 0.000), Pd at (0.000, 0.500, 0.500) and Se at (0.500, 0.500, 0.500).

As for the volume: 20.4 Å³ per atom.

Stability summary - winner: #1; margin: 0.295 eV/atom.

#1
Compound: SiAg3Pd
Source: Alexandria via LeMat-Bulk
Functional: PBE
Structure: optimized geometry

The space group is Pm-3m (No. 221) and the conventional cell measures 5.017, 5.017 and 5.017 Å, with angles of 90.00, 90.00 and 90.00 degrees. The inequivalent atoms are Si at (0.000, 0.000, 0.000), Ag at (0.000, 0.500, 0.500) and Pd at (0.500, 0.500, 0.500).

As for the volume: 25.3 Å³ per atom.

#2
Compound: SiAg3Pd
Source: Alexandria via LeMat-Bulk
Functional: PBE
Structure: optimized geometry

The space group is Pm-3m (No. 221) and the conventional cell measures 4.693, 4.693 and 4.693 Å, with angles of 90.00, 90.00 and 90.00 degrees. The inequivalent atoms are Si at (0.000, 0.000, 0.000), Ag at (0.000, 0.000, 0.500) and Pd at (0.500, 0.500, 0.500).

As for the volume: 20.7 Å³ per atom.

Stability summary - winner: #2; margin: 0.510 eV/atom.

#1
Compound: SrSiAg2Pd
Source: Alexandria via LeMat-Bulk
Functional: PBE
Structure: optimized geometry

The space group is P4/mmm (No. 123) and the conventional cell measures 4.751, 4.751 and 5.865 Å, with angles of 90.00, 90.00 and 90.00 degrees. The inequivalent atoms are Sr at (0.000, 0.000, 0.000), Si at (0.000, 0.000, 0.500), Ag at (0.000, 0.500, 0.500) and Pd at (0.500, 0.500, 0.000).

As for the volume: 26.5 Å³ per atom.

#2
Compound: SrSiAg2Pd
Source: Alexandria via LeMat-Bulk
Functional: PBE
Structure: optimized geometry

The space group is P4/mmm (No. 123) and the conventional cell measures 4.878, 4.878 and 4.782 Å, with angles of 90.00, 90.00 and 90.00 degrees. The inequivalent atoms are Sr at (0.000, 0.000, 0.000), Si at (0.500, 0.500, 0.500), Ag at (0.000, 0.500, 0.500) and Pd at (0.500, 0.500, 0.000).

As for the volume: 22.8 Å³ per atom.

Stability summary - winner: #2; margin: 0.586 eV/atom.